An optimized crystal structure of K3FeP. Source: Alexandria, functional PBE-GGA.

Results
Calculated formation energy = 0.656 eV per atom
Crystal system = cubic
Volume = 243.9 Å³/cell
Space-group type = Pm-3m, No. 221
Distance to the lowest polymorph of the same formula = 0 meV per atom

Unit cell a=6.2481 b=6.2481 c=6.2481 alpha=90.00 beta=90.00 gamma=90.00
Site moments in Bohr magnetons follow the coordinates.
Fractional coordinates of all 5 atoms:
Fe: 0.5000 0.5000 0.5000  3.22
K: 0.0000 0.5000 0.0000  0.00
K: 0.0000 0.0000 0.5000  0.01
K: 0.5000 0.0000 0.0000  0.00
P: 0.0000 0.0000 0.0000  0.25